# 1
The following is a DFT calculation (PBE) of PrTl2Cl5 after structural relaxation.

Unit cell a=13.1956 b=8.8898 c=8.2905 alpha=90.00 beta=90.00 gamma=90.00
Last column: nearest neighbours and their distance in Å.
Space group Pnma (No. 62)
One atom of each set of equivalent atoms:
1 Pr 0.0051 0.2500 0.0745 x4  7 Cl 2.80-2.89
2 Tl 0.1728 0.0035 0.5486 x8  8 Cl 3.24-3.52
3 Cl 0.0091 0.2500 0.4151 x4  1 Pr 2.82
4 Cl 0.0749 0.5431 0.1619 x8  2 Pr 2.86-2.89
5 Cl 0.1793 0.2500 0.8808 x4  1 Pr 2.80
6 Cl 0.2016 0.7500 0.8404 x4  1 Pr 2.82

Computed properties:
energy relative to the elements, uncorrected: -1689 meV/atom
size of the total moment: 0.0 μB/f.u.

***

# 2
The following is a DFT calculation (PBE) of LaSbAs2Se after structural relaxation.

Unit cell a=5.6886 b=5.6886 c=5.5708 alpha=90.00 beta=90.00 gamma=90.00
Last column: nearest neighbours and their distance in Å.
Space group P4/mmm (No. 123)
One atom of each set of equivalent atoms:
1 La 0.0000 0.0000 0.0000 x1  2 Se 2.79, 4 As 2.84
2 Sb 0.5000 0.5000 0.5000 x1  8 As 3.98, 4 Se 4.02
3 As 0.0000 0.5000 0.0000 x2  2 La 2.84
4 Se 0.0000 0.0000 0.5000 x1  2 La 2.79

Computed properties:
energy relative to the elements, uncorrected: 456 meV/atom
excess energy over the best structure of this formula in the dataset: 615 meV/atom
size of the total moment: 0.0 μB/f.u.

***

# 3
The following is a DFT calculation (PBE) of Ga2PdRu2 after structural relaxation.

Unit cell a=6.9068 b=6.9068 c=3.1159 alpha=90.00 beta=90.00 gamma=90.00
Last column: nearest neighbours and their distance in Å.
Space group P4/mbm (No. 127)
One atom of each set of equivalent atoms:
1 Ga 0.1409 0.3591 0.0000 x4  6 Ru 2.51-2.59, 2 Pd 2.66, 1 Ga 2.75
2 Pd 0.0000 0.0000 0.0000 x2  4 Ga 2.66
3 Ru 0.1577 0.6577 0.5000 x4  6 Ga 2.51-2.59

Computed properties:
formation energy: -144 meV per atom
excess energy over the best structure of this formula in the dataset: 0 meV/atom
size of the total moment: 0.0 μB/f.u.

***

# 4
The following is a DFT calculation (PBE) of Tb9Pm2Dy after structural relaxation.

Unit cell a=6.5207 b=6.5207 c=33.7356 alpha=90.00 beta=90.00 gamma=120.00
Last column: nearest neighbours and their distance in Å.
Space group R-3m (No. 166, hexagonal axes)
One atom of each set of equivalent atoms:
1 Tb 0.0000 0.0000 0.0000 x3  6 Tb 3.38
2 Tb 0.0000 0.0000 0.1666 x6  9 Tb 3.39-3.76, 3 Dy 3.76
3 Tb 0.0016 0.5008 0.4162 x18  7 Tb 3.24-3.40
4 Pm 0.0000 0.0000 0.3458 x6  12 Tb 3.72-4.04, 3 Pm 3.86
5 Dy 0.0000 0.0000 0.5000 x3  6 Tb 3.76

Computed properties:
formation energy: 305 meV per atom
excess energy over the best structure of this formula in the dataset: 286 meV/atom
size of the total moment: 0.0 μB/f.u.

***

# 5
The following is a DFT calculation (PBE) of BaTePO2 after structural relaxation.

Unit cell a=4.3869 b=4.3869 c=5.0863 alpha=90.00 beta=90.00 gamma=90.00
Last column: nearest neighbours and their distance in Å.
Space group P4/mmm (No. 123)
One atom of each set of equivalent atoms:
1 Ba 0.0000 0.0000 0.0000 x1  4 P 3.10, 8 O 3.36
2 Te 0.5000 0.5000 0.5000 x1  4 O 2.19
3 P 0.5000 0.5000 0.0000 x1  2 Te 2.54
4 O 0.0000 0.5000 0.5000 x2  2 Te 2.19

Computed properties:
energy relative to the elements, uncorrected: -875 meV/atom
excess energy over the best structure of this formula in the dataset: 0 meV/atom
size of the total moment: 0.0 μB/f.u.

***

# 6
The following is a DFT calculation (PBE) of LaTbH4 after structural relaxation.

Unit cell a=3.8129 b=3.8129 c=5.4902 alpha=90.00 beta=90.00 gamma=90.00
Last column: nearest neighbours and their distance in Å.
Space group P4/mmm (No. 123)
One atom of each set of equivalent atoms:
1 La 0.0000 0.0000 0.0000 x1  8 H 2.42
2 Tb 0.5000 0.5000 0.5000 x1  8 H 2.28
3 H 0.0000 0.5000 0.2718 x4  2 Tb 2.28, 2 La 2.42, 1 H 2.51

Computed properties:
VASP energy: -4.501 eV per atom
size of the total moment: 0.0 μB/f.u.

***

# 7
The following is a DFT calculation (PBE) of ScSiPt3 after structural relaxation.

Unit cell a=3.9464 b=3.9464 c=5.6810 alpha=90.00 beta=90.00 gamma=90.00
Last column: nearest neighbours and their distance in Å.
Space group P4mm (No. 99)
One atom of each set of equivalent atoms:
1 Sc 0.0000 0.0000 0.0000 x1  8 Pt 2.80-2.96
2 Si 0.5000 0.5000 0.3678 x1  5 Pt 2.26-2.41
3 Pt 0.0000 0.5000 0.6124 x2  2 Si 2.41
4 Pt 0.5000 0.5000 0.9691 x1  1 Si 2.26

Computed properties:
energy relative to the elements, uncorrected: -964 meV/atom
excess energy over the best structure of this formula in the dataset: 0 meV/atom
size of the total moment: 0.0 μB/f.u.

***

# 8
The following is a DFT calculation (PBE) of BeH3Cl after structural relaxation.

Unit cell a=3.6902 b=3.6902 c=3.6902 alpha=90.00 beta=90.00 gamma=90.00
Last column: nearest neighbours and their distance in Å.
Space group Pm-3m (No. 221)
One atom of each set of equivalent atoms:
1 Be 0.0000 0.0000 0.0000 x1  12 H 2.61
2 H 0.0000 0.5000 0.5000 x3  2 Cl 1.85
3 Cl 0.5000 0.5000 0.5000 x1  6 H 1.85

Computed properties:
excess energy over the best structure of this formula in the dataset: 579 meV/atom
size of the total moment: 0.0 μB/f.u.